1.
Pu5Zn3In3 (GGA-PBE, optimized geometry); final energy = -7.492 eV per atom; energy of formation = 116.5 meV/atom; N(E_F) = 34.76 states/eV per cell
1.0
-2.954 0.288 -0.799
-0.065 -9.527 -3.196
-2.371 2.118 9.533
Pu Zn In
5 3 3
Direct
0.500 0.667 0.333
0.500 0.657 0.657
0.500 0.343 0.000
0.500 0.333 0.667
0.500 0.000 0.343
0.500 0.144 0.144
0.500 0.856 0.000
0.500 0.000 0.856
0.000 0.000 0.627
0.000 0.373 0.373
0.000 0.627 0.000

---

2.
PuZnIn2 (GGA-PBE, optimized geometry); final energy = -5.450 eV per atom; energy of formation = -179.6 meV/atom; N(E_F) = 21.28 states/eV per cell
1.0
4.571 0.000 -1.268
-0.352 4.557 -1.268
0.000 0.000 8.876
In Pu Zn
4 2 2
Direct
0.500 0.000 0.000
0.644 0.644 0.289
0.356 0.356 0.711
0.000 0.500 0.000
0.862 0.862 0.724
0.138 0.138 0.276
0.250 0.750 0.500
0.750 0.250 0.500

---

3.
PuZn2In (GGA-PBE, optimized geometry); final energy = -4.949 eV per atom; energy of formation = -44.9 meV/atom; N(E_F) = 7.46 states/eV per cell
1.0
-0.904 3.488 1.444
-4.189 -1.671 1.415
1.893 -1.229 4.153
Pu In Zn
1 1 2
Direct
0.500 0.500 0.500
0.500 0.000 0.000
0.000 0.500 0.000
0.000 0.000 0.500

---

4.
PuZnIn6 (GGA-PBE, optimized geometry); final energy = -4.051 eV per atom; energy of formation = -46.9 meV/atom; N(E_F) = 10.62 states/eV per cell
1.0
-2.531 -4.007 -1.149
1.297 -2.524 5.944
-4.773 1.823 4.157
Zn In Pu
1 6 1
Direct
0.500 0.500 0.500
0.500 0.500 0.000
0.500 0.000 0.500
0.000 0.213 0.213
0.000 0.701 0.299
0.000 0.299 0.701
0.000 0.787 0.787
0.500 0.000 0.000

---

5.
PuZn2In (GGA-PBE, optimized geometry); final energy = -4.925 eV per atom; energy of formation = -20.4 meV/atom; N(E_F) = 6.13 states/eV per cell
1.0
-1.641 -2.718 0.162
1.653 -0.845 2.581
-5.707 3.737 4.880
In Pu Zn
1 1 2
Direct
0.500 0.500 0.000
0.500 0.500 0.500
0.000 0.000 0.243
0.000 0.000 0.757

---

6.
PuZnIn (GGA-PBE, optimized geometry); final energy = -6.108 eV per atom; energy of formation = 6.8 meV/atom; N(E_F) = 16.63 states/eV per cell
1.0
-1.119 3.173 -3.364
-3.848 2.752 0.511
0.500 4.653 0.857
Pu Zn In
1 1 1
Direct
0.500 0.500 0.500
0.250 0.250 0.250
0.000 0.000 0.000